No. 1
PmErCdOs PBE-GGA optimized geometry; total moment = 0.0 μB per cell; SG = P4mm; E_form = -0.253 eV/atom; density = 10.8 g/cm3; excess energy over the best structure of this formula in the dataset = 0 kJ/mol of formula units
1.0
3.472 0.000 0.000
0.000 3.472 0.000
0.000 0.000 7.876
Pm Er Cd Os
1 1 1 1
Direct
0.000 0.000 0.000
0.000 0.000 0.574
0.500 0.500 0.301
0.500 0.500 0.776

---

No. 2
CdAs2BrCl PBE-GGA optimized geometry; total moment = 0.6 μB per cell; SG = P4/mmm; density = 4.1 g/cm3; E_form (uncorrected) = 0.69 eV/atom; excess energy over the best structure of this formula in the dataset = 24 kJ/mol of formula units
1.0
4.740 0.000 0.000
0.000 4.740 0.000
0.000 0.000 6.725
Cd As Br Cl
1 2 1 1
Direct
0.000 0.000 0.000
0.000 0.500 0.500
0.500 0.000 0.500
0.500 0.500 0.000
0.500 0.500 0.500

---

No. 3
Ba2Tl6Bi PBE-GGA optimized geometry; total moment = 0.0 μB per cell; SG = C2/m; E_form = -0.293 eV/atom; density = 9.1 g/cm3
1.0
6.204 -3.581 0.000
6.204 3.581 0.000
-0.005 0.000 7.056
Ba Tl Bi
2 6 1
Direct
0.167 0.167 0.354
0.833 0.833 0.646
0.142 0.679 0.162
0.321 0.321 0.834
0.321 0.858 0.838
0.679 0.142 0.162
0.679 0.679 0.166
0.858 0.321 0.838
0.500 0.500 0.500

---

No. 4
ZnHg2Sb PBE-GGA optimized geometry; total moment = 0.0 μB per cell; SG = P4mm; density = 9.9 g/cm3; E_form (uncorrected) = 0.15 eV/atom; excess energy over the best structure of this formula in the dataset = 27 kJ/mol of formula units
1.0
3.241 0.000 0.000
0.000 3.241 0.000
0.000 0.000 9.353
Zn Hg Sb
1 2 1
Direct
0.000 0.000 0.000
0.000 0.000 0.480
0.500 0.500 0.205
0.500 0.500 0.788

---

No. 5
Sm6Dy2Ho3Tm PBE-GGA optimized geometry; total moment = 0.0 μB per cell; SG = C2/m; E_form = 0.014 eV/atom; density = 8.1 g/cm3
1.0
3.102 -5.370 0.000
3.102 5.370 0.000
-2.061 0.000 11.601
Sm Dy Ho Tm
6 2 3 1
Direct
0.084 0.417 0.750
0.249 0.249 0.250
0.417 0.084 0.750
0.583 0.916 0.250
0.751 0.751 0.750
0.916 0.583 0.250
0.333 0.667 0.500
0.667 0.333 0.500
0.167 0.833 0.000
0.500 0.500 0.000
0.833 0.167 0.000
0.000 0.000 0.500

---

No. 6
Mn2PdS PBE-GGA optimized geometry; total moment = 11.7 μB per cell; SG = I-42d; density = 7.2 g/cm3; E_form (uncorrected) = 0.05 eV/atom
1.0
-3.342 3.342 2.562
3.342 -3.342 2.562
3.342 3.342 -2.562
Mn Pd S
4 2 2
Direct
0.074 0.625 0.949
0.375 0.324 0.449
0.676 0.125 0.051
0.875 0.926 0.551
0.250 0.750 0.500
0.500 0.500 0.000
0.000 0.000 0.000
0.750 0.250 0.500

---

Copy entry 3 word for word.
Ba2Tl6Bi PBE-GGA optimized geometry; total moment = 0.0 μB per cell; SG = C2/m; E_form = -0.293 eV/atom; density = 9.1 g/cm3
1.0
6.204 -3.581 0.000
6.204 3.581 0.000
-0.005 0.000 7.056
Ba Tl Bi
2 6 1
Direct
0.167 0.167 0.354
0.833 0.833 0.646
0.142 0.679 0.162
0.321 0.321 0.834
0.321 0.858 0.838
0.679 0.142 0.162
0.679 0.679 0.166
0.858 0.321 0.838
0.500 0.500 0.500

---

Question: Number 4 is which compound?
Answer: ZnHg2Sb

---

Question: The highest density belongs to which entry?
Answer: PmErCdOs